No. 1
{
  "formula": "LiVO3",
  "functional": "meta-GGA SCAN",
  "state": "single point on PBEsol structure",
  "lattice_angstrom": [[5.1180, -4.1428, 0.0000], [5.1180, 4.1428, 0.0000], [-2.1430, 0.0000, 5.4258]],
  "species": ["Li", "Li", "Li", "Li", "V", "V", "V", "V", "O", "O", "O", "O", "O", "O", "O", "O", "O", "O", "O", "O"],
  "frac_coords": [[0.0785, 0.9215, 0.7500], [0.2815, 0.7185, 0.2500], [0.7185, 0.2815, 0.7500], [0.9215, 0.0785, 0.2500], [0.1886, 0.3788, 0.7627], [0.3788, 0.1886, 0.2627], [0.6212, 0.8114, 0.7373], [0.8114, 0.6212, 0.2373], [0.0030, 0.7775, 0.3390], [0.0759, 0.6266, 0.7760], [0.2225, 0.9970, 0.1610], [0.3210, 0.3827, 0.0779], [0.3734, 0.9241, 0.7240], [0.3827, 0.3210, 0.5779], [0.6173, 0.6790, 0.4221], [0.6266, 0.0759, 0.2760], [0.6790, 0.6173, 0.9221], [0.7775, 0.0030, 0.8390], [0.9241, 0.3734, 0.2240], [0.9970, 0.2225, 0.6610]]
}

No. 2
{
  "formula": "LiVO2",
  "functional": "meta-GGA SCAN",
  "state": "single point on PBEsol structure",
  "lattice_angstrom": [[-2.8229, 3.1469, 3.9237], [2.8229, -3.1469, 3.9237], [2.8229, 3.1469, -3.9237]],
  "species": ["Li", "Li", "Li", "Li", "V", "V", "V", "V", "O", "O", "O", "O", "O", "O", "O", "O"],
  "frac_coords": [[0.0000, 0.0000, 0.0000], [0.4521, 0.2021, 0.2500], [0.5000, 0.0000, 0.5000], [0.5479, 0.7979, 0.7500], [0.0000, 0.0000, 0.5000], [0.0000, 0.5000, 0.0000], [0.0000, 0.5000, 0.5000], [0.5000, 0.5000, 0.0000], [0.2166, 0.2490, 0.9675], [0.2185, 0.7510, 0.4675], [0.2576, 0.2703, 0.5127], [0.2576, 0.7448, 0.9873], [0.7424, 0.2552, 0.0127], [0.7424, 0.7297, 0.4873], [0.7815, 0.2490, 0.5325], [0.7834, 0.7510, 0.0325]]
}

No. 3
{
  "formula": "Li3V7O12",
  "functional": "meta-GGA SCAN",
  "state": "single point on PBEsol structure",
  "lattice_angstrom": [[2.3968, -4.2614, 0.0000], [2.3968, 4.2614, 0.0000], [-1.7190, 0.0000, 9.3108]],
  "species": ["Li", "Li", "Li", "V", "V", "V", "V", "V", "V", "V", "O", "O", "O", "O", "O", "O", "O", "O", "O", "O", "O", "O"],
  "frac_coords": [[0.0000, 0.0000, 0.0000], [0.2264, 0.2514, 0.7537], [0.7486, 0.7736, 0.2463], [0.0703, 0.4305, 0.2294], [0.1561, 0.8439, 0.5000], [0.3157, 0.6843, 0.0000], [0.5194, 0.4806, 0.5000], [0.5695, 0.9297, 0.7706], [0.6607, 0.3393, 0.0000], [0.7979, 0.2021, 0.5000], [0.0332, 0.7304, 0.1256], [0.1031, 0.1514, 0.3816], [0.2167, 0.5513, 0.6177], [0.2696, 0.9668, 0.8744], [0.3648, 0.3933, 0.1203], [0.4487, 0.7833, 0.3823], [0.5343, 0.2145, 0.6400], [0.6067, 0.6352, 0.8797], [0.6999, 0.0488, 0.1176], [0.7855, 0.4657, 0.3600], [0.8486, 0.8969, 0.6184], [0.9512, 0.3001, 0.8824]]
}

No. 4
{
  "formula": "Li4V3O8",
  "functional": "meta-GGA SCAN",
  "state": "single point on PBEsol structure",
  "lattice_angstrom": [[6.0671, 0.0000, 0.0000], [0.0000, 5.5537, 0.0000], [-5.1216, 0.0000, 8.1930]],
  "species": ["Li", "Li", "Li", "Li", "Li", "Li", "Li", "Li", "V", "V", "V", "V", "V", "V", "O", "O", "O", "O", "O", "O", "O", "O", "O", "O", "O", "O", "O", "O", "O", "O"],
  "frac_coords": [[0.0000, 0.0000, 0.0000], [0.0000, 0.5000, 0.5000], [0.0742, 0.0148, 0.3578], [0.0742, 0.4852, 0.8578], [0.5000, 0.0000, 0.5000], [0.5000, 0.5000, 0.0000], [0.9258, 0.5148, 0.1422], [0.9258, 0.9852, 0.6422], [0.4945, 0.7393, 0.7356], [0.4945, 0.7607, 0.2356], [0.5000, 0.0000, 0.0000], [0.5000, 0.5000, 0.5000], [0.5055, 0.2393, 0.7644], [0.5055, 0.2607, 0.2644], [0.2766, 0.7480, 0.5140], [0.2766, 0.7520, 0.0140], [0.2837, 0.5090, 0.2607], [0.2837, 0.9910, 0.7607], [0.2904, 0.0089, 0.2574], [0.2904, 0.4911, 0.7574], [0.2997, 0.2339, 0.0169], [0.2997, 0.2661, 0.5169], [0.7003, 0.7339, 0.4831], [0.7003, 0.7661, 0.9831], [0.7096, 0.5089, 0.2426], [0.7096, 0.9911, 0.7426], [0.7163, 0.0090, 0.2393], [0.7163, 0.4910, 0.7393], [0.7234, 0.2480, 0.9860], [0.7234, 0.2520, 0.4860]],
  "de_polymorph_mev_per_atom": 18.4
}

No. 5
{
  "formula": "Li2V3WO8",
  "functional": "meta-GGA SCAN",
  "state": "single point on PBEsol structure",
  "lattice_angstrom": [[5.7613, 0.0000, 0.0000], [-2.8807, 4.9895, 0.0000], [0.0000, 0.0000, 9.5855]],
  "species": ["Li", "Li", "Li", "Li", "V", "V", "V", "V", "V", "V", "W", "W", "O", "O", "O", "O", "O", "O", "O", "O", "O", "O", "O", "O", "O", "O", "O", "O"],
  "frac_coords": [[0.0000, 0.0000, 0.0000], [0.0000, 0.0000, 0.5000], [0.3333, 0.6667, 0.0931], [0.6667, 0.3333, 0.5931], [0.1758, 0.3515, 0.7768], [0.1758, 0.8242, 0.7768], [0.3515, 0.1758, 0.2768], [0.6485, 0.8242, 0.7768], [0.8242, 0.1758, 0.2768], [0.8242, 0.6485, 0.2768], [0.3333, 0.6667, 0.5069], [0.6667, 0.3333, 0.0069], [0.0000, 0.0000, 0.1884], [0.0000, 0.0000, 0.6884], [0.0285, 0.5142, 0.6460], [0.1705, 0.3410, 0.3962], [0.1705, 0.8295, 0.3962], [0.3333, 0.6667, 0.8951], [0.3410, 0.1705, 0.8962], [0.4858, 0.5142, 0.6460], [0.4858, 0.9715, 0.6460], [0.5142, 0.0285, 0.1460], [0.5142, 0.4858, 0.1460], [0.6590, 0.8295, 0.3962], [0.6667, 0.3333, 0.3951], [0.8295, 0.1705, 0.8962], [0.8295, 0.6590, 0.8962], [0.9715, 0.4858, 0.1460]],
  "de_polymorph_mev_per_atom": 0.0
}

No. 6
{
  "formula": "Li2V3WO8",
  "functional": "meta-GGA SCAN",
  "state": "single point on PBEsol structure",
  "lattice_angstrom": [[2.9231, 1.6876, 4.7142], [-2.9231, 1.6876, 4.7142], [0.0000, -3.3752, 4.7142]],
  "species": ["Li", "Li", "V", "V", "V", "W", "O", "O", "O", "O", "O", "O", "O", "O"],
  "frac_coords": [[0.1262, 0.1262, 0.1262], [0.8738, 0.8738, 0.8738], [0.0000, 0.5000, 0.5000], [0.5000, 0.0000, 0.5000], [0.5000, 0.5000, 0.0000], [0.5000, 0.5000, 0.5000], [0.2572, 0.2572, 0.7290], [0.2572, 0.7290, 0.2572], [0.2616, 0.2616, 0.2616], [0.2710, 0.7428, 0.7428], [0.7290, 0.2572, 0.2572], [0.7384, 0.7384, 0.7384], [0.7428, 0.2710, 0.7428], [0.7428, 0.7428, 0.2710]],
  "de_polymorph_mev_per_atom": 16.4
}

No. 7
{
  "formula": "Li2V3WO8",
  "functional": "meta-GGA SCAN",
  "state": "single point on PBEsol structure",
  "lattice_angstrom": [[8.2281, 0.0000, 0.0000], [0.0000, 8.2281, 0.0000], [0.0000, 0.0000, 8.2281]],
  "species": ["Li", "Li", "Li", "Li", "Li", "Li", "Li", "Li", "V", "V", "V", "V", "V", "V", "V", "V", "V", "V", "V", "V", "W", "W", "W", "W", "O", "O", "O", "O", "O", "O", "O", "O", "O", "O", "O", "O", "O", "O", "O", "O", "O", "O", "O", "O", "O", "O", "O", "O", "O", "O", "O", "O", "O", "O", "O", "O"],
  "frac_coords": [[0.0060, 0.4940, 0.5060], [0.2440, 0.7440, 0.7560], [0.2560, 0.2560, 0.2560], [0.4940, 0.5060, 0.0060], [0.5060, 0.0060, 0.4940], [0.7440, 0.7560, 0.2440], [0.7560, 0.2440, 0.7440], [0.9940, 0.9940, 0.9940], [0.1241, 0.6250, 0.1259], [0.1250, 0.3741, 0.8759], [0.1259, 0.1241, 0.6250], [0.3741, 0.8759, 0.1250], [0.3750, 0.6259, 0.3759], [0.3759, 0.3750, 0.6259], [0.6241, 0.8750, 0.8741], [0.6250, 0.1259, 0.1241], [0.6259, 0.3759, 0.3750], [0.8741, 0.6241, 0.8750], [0.8750, 0.8741, 0.6241], [0.8759, 0.1250, 0.3741], [0.1250, 0.8750, 0.3750], [0.3750, 0.1250, 0.8750], [0.6250, 0.6250, 0.6250], [0.8750, 0.3750, 0.1250], [0.1117, 0.6117, 0.8883], [0.1184, 0.1185, 0.3818], [0.1185, 0.3818, 0.1184], [0.1182, 0.8816, 0.6185], [0.1315, 0.1316, 0.8682], [0.1318, 0.6315, 0.3684], [0.1316, 0.8682, 0.1315], [0.1383, 0.3617, 0.6383], [0.3617, 0.6383, 0.1383], [0.3684, 0.1318, 0.6315], [0.3682, 0.3685, 0.8684], [0.3685, 0.8684, 0.3682], [0.3818, 0.1184, 0.1185], [0.3815, 0.6182, 0.6184], [0.3816, 0.8815, 0.8818], [0.3883, 0.3883, 0.3883], [0.6117, 0.8883, 0.1117], [0.6185, 0.1182, 0.8816], [0.6184, 0.3815, 0.6182], [0.6182, 0.6184, 0.3815], [0.6315, 0.3684, 0.1318], [0.6316, 0.6318, 0.8685], [0.6318, 0.8685, 0.6316], [0.6383, 0.1383, 0.3617], [0.8617, 0.8617, 0.8617], [0.8682, 0.1315, 0.1316], [0.8684, 0.3682, 0.3685], [0.8685, 0.6316, 0.6318], [0.8818, 0.3816, 0.8815], [0.8816, 0.6185, 0.1182], [0.8815, 0.8818, 0.3816], [0.8883, 0.1117, 0.6117]],
  "de_polymorph_mev_per_atom": 23.8
}

No. 8
{
  "formula": "Li6V3W3O16",
  "functional": "meta-GGA SCAN",
  "state": "single point on PBEsol structure",
  "lattice_angstrom": [[5.7293, 0.0000, 0.0000], [2.8622, 5.0177, 0.0000], [0.0024, 0.7601, 10.0820]],
  "species": ["Li", "Li", "Li", "Li", "Li", "Li", "V", "V", "V", "W", "W", "W", "O", "O", "O", "O", "O", "O", "O", "O", "O", "O", "O", "O", "O", "O", "O", "O"],
  "frac_coords": [[0.0000, 0.0000, 0.0000], [0.0209, 0.9577, 0.3688], [0.3176, 0.3648, 0.4873], [0.3424, 0.3132, 0.8816], [0.6761, 0.6483, 0.8970], [0.6980, 0.6021, 0.3998], [0.0250, 0.4671, 0.1790], [0.4925, 0.4767, 0.1755], [0.8312, 0.3373, 0.6795], [0.2965, 0.8603, 0.6761], [0.5045, 0.9936, 0.1793], [0.8428, 0.8604, 0.6760], [0.1418, 0.7160, 0.5488], [0.1437, 0.1883, 0.5685], [0.1804, 0.6383, 0.0724], [0.1833, 0.1718, 0.0655], [0.3544, 0.2907, 0.2985], [0.3714, 0.7886, 0.2809], [0.5040, 0.5177, 0.7782], [0.5101, 0.9796, 0.7839], [0.6463, 0.1721, 0.0663], [0.6504, 0.6990, 0.5743], [0.6639, 0.6690, 0.0769], [0.6680, 0.1884, 0.5684], [0.8356, 0.3286, 0.2734], [0.8406, 0.7881, 0.2806], [0.9779, 0.5178, 0.7782], [0.9948, 0.0100, 0.8080]]
}

No. 9
{
  "formula": "Li3V8ZnO16",
  "functional": "meta-GGA SCAN",
  "state": "single point on PBEsol structure",
  "lattice_angstrom": [[5.7789, 0.0000, 0.0000], [0.0000, 5.7789, 0.0000], [0.0000, 0.0000, 8.1741]],
  "species": ["Li", "Li", "Li", "V", "V", "V", "V", "V", "V", "V", "V", "Zn", "O", "O", "O", "O", "O", "O", "O", "O", "O", "O", "O", "O", "O", "O", "O", "O"],
  "frac_coords": [[0.0000, 0.0000, 0.0000], [0.0000, 0.5000, 0.2491], [0.5000, 0.0000, 0.7509], [0.0000, 0.2353, 0.6225], [0.0000, 0.7647, 0.6225], [0.2353, 0.0000, 0.3775], [0.2570, 0.5000, 0.8833], [0.5000, 0.2570, 0.1167], [0.5000, 0.7430, 0.1167], [0.7430, 0.5000, 0.8833], [0.7647, 0.0000, 0.3775], [0.5000, 0.5000, 0.5000], [0.0000, 0.2395, 0.3830], [0.0000, 0.2756, 0.8614], [0.0000, 0.7244, 0.8614], [0.0000, 0.7605, 0.3830], [0.2251, 0.5000, 0.6370], [0.2395, 0.0000, 0.6170], [0.2644, 0.5000, 0.1203], [0.2756, 0.0000, 0.1386], [0.5000, 0.2251, 0.3630], [0.5000, 0.2644, 0.8797], [0.5000, 0.7356, 0.8797], [0.5000, 0.7749, 0.3630], [0.7244, 0.0000, 0.1386], [0.7356, 0.5000, 0.1203], [0.7605, 0.0000, 0.6170], [0.7749, 0.5000, 0.6370]]
}

No. 10
{
  "formula": "Li4WO5",
  "functional": "meta-GGA SCAN",
  "state": "single point on PBEsol structure",
  "lattice_angstrom": [[-3.2743, 3.2743, 2.0395], [3.2743, -3.2743, 2.0395], [3.2743, 3.2743, -2.0395]],
  "species": ["Li", "Li", "Li", "Li", "W", "O", "O", "O", "O", "O"],
  "frac_coords": [[0.0999, 0.3151, 0.4150], [0.3151, 0.9001, 0.2151], [0.6849, 0.0999, 0.7849], [0.9001, 0.6849, 0.5850], [0.4618, 0.4618, 0.0000], [0.0049, 0.0049, 0.0000], [0.2342, 0.5972, 0.8135], [0.4206, 0.2342, 0.6370], [0.5972, 0.7837, 0.3630], [0.7837, 0.4206, 0.1865]],
  "de_polymorph_mev_per_atom": 29.9
}

No. 11
{
  "formula": "Li2WO4",
  "functional": "meta-GGA SCAN",
  "state": "single point on PBEsol structure",
  "lattice_angstrom": [[7.1742, 4.1420, 3.1837], [-7.1742, 4.1420, 3.1837], [0.0000, -8.2840, 3.1837]],
  "species": ["Li", "Li", "Li", "Li", "Li", "Li", "Li", "Li", "Li", "Li", "Li", "Li", "W", "W", "W", "W", "W", "W", "O", "O", "O", "O", "O", "O", "O", "O", "O", "O", "O", "O", "O", "O", "O", "O", "O", "O", "O", "O", "O", "O", "O", "O"],
  "frac_coords": [[0.1104, 0.8692, 0.2750], [0.1308, 0.7250, 0.8896], [0.2014, 0.6043, 0.4334], [0.2750, 0.1104, 0.8692], [0.3957, 0.5666, 0.7986], [0.4335, 0.2014, 0.6043], [0.5665, 0.7986, 0.3957], [0.6043, 0.4335, 0.2014], [0.7250, 0.8896, 0.1308], [0.7986, 0.3957, 0.5665], [0.8692, 0.2750, 0.1104], [0.8896, 0.1308, 0.7250], [0.0559, 0.2288, 0.4675], [0.2288, 0.4675, 0.0559], [0.4675, 0.0559, 0.2288], [0.5325, 0.9441, 0.7712], [0.7712, 0.5325, 0.9441], [0.9441, 0.7712, 0.5325], [0.0020, 0.3141, 0.9712], [0.0288, 0.9980, 0.6859], [0.0434, 0.3567, 0.3470], [0.0760, 0.7478, 0.4179], [0.2522, 0.5821, 0.9240], [0.2818, 0.3171, 0.6222], [0.3141, 0.9712, 0.0020], [0.3171, 0.6222, 0.2818], [0.3470, 0.0434, 0.3567], [0.3567, 0.3470, 0.0434], [0.3778, 0.7182, 0.6829], [0.4179, 0.0760, 0.7478], [0.5821, 0.9240, 0.2522], [0.6222, 0.2818, 0.3171], [0.6433, 0.6530, 0.9566], [0.6530, 0.9566, 0.6433], [0.6829, 0.3778, 0.7182], [0.6859, 0.0288, 0.9980], [0.7182, 0.6829, 0.3778], [0.7478, 0.4179, 0.0760], [0.9240, 0.2522, 0.5821], [0.9566, 0.6433, 0.6530], [0.9712, 0.0020, 0.3141], [0.9980, 0.6859, 0.0288]],
  "de_polymorph_mev_per_atom": 0.0
}

No. 12
{
  "formula": "Li4WO5",
  "functional": "meta-GGA SCAN",
  "state": "single point on PBEsol structure",
  "lattice_angstrom": [[5.0551, 0.0000, 0.0000], [-0.9851, 4.9820, 0.0000], [-1.5689, -2.8213, 6.9911]],
  "species": ["Li", "Li", "Li", "Li", "Li", "Li", "Li", "Li", "W", "W", "O", "O", "O", "O", "O", "O", "O", "O", "O", "O"],
  "frac_coords": [[0.0000, 0.0000, 0.0000], [0.0701, 0.1940, 0.6966], [0.1958, 0.3865, 0.3903], [0.2787, 0.5943, 0.0978], [0.5000, 0.0000, 0.5000], [0.7213, 0.4057, 0.9022], [0.8042, 0.6135, 0.6097], [0.9299, 0.8060, 0.3034], [0.3910, 0.7811, 0.7820], [0.6090, 0.2189, 0.2180], [0.0723, 0.6098, 0.8457], [0.1645, 0.8108, 0.5699], [0.2765, 0.0096, 0.2487], [0.3681, 0.1764, 0.9579], [0.4493, 0.4283, 0.6632], [0.5507, 0.5717, 0.3368], [0.6319, 0.8236, 0.0421], [0.7235, 0.9904, 0.7513], [0.8355, 0.1892, 0.4301], [0.9277, 0.3902, 0.1543]],
  "de_polymorph_mev_per_atom": 0.0
}

ΔE_f (raw) for every record listed, in sequence, given in kJ per mole of atoms: -245.3; -239.1; -242.2; -240.3; -237.2; -235.7; -234.9; -227.6; -247.3; -227.6; -231.5; -230.5.
Magnetic moment for every record listed, in sequence, given in μB/cell: 0.000; 8.003; 1.943; 2.007; 9.960; 5.002; 19.859; 4.961; 12.967; 0.000; 0.001; 0.000.